Entry 1
Er4GaTe2 | PBE | relaxed

Calculated values
As for the magnetization: 0.0 μB per formula unit. The density of states at the Fermi level comes out at 10.620 states/eV/cell.

Cell lengths 8.0606, 8.0609, 8.0614 Å; angles 109.36, 109.37, 109.68 degrees
With the nearest neighbours (Å) after each atom.
Element x y z (fractional)
Er 0.9773 0.2463 0.3315  1 Ga 2.86, 3 Te 3.05-3.12
Er 0.3350 0.5036 0.2309  1 Ga 2.86, 3 Te 3.05-3.12
Er 0.9149 0.6459 0.6685  1 Ga 2.86, 3 Te 3.05-3.12
Er 0.7536 0.0224 0.6682  1 Ga 2.86, 3 Te 3.05-3.12
Er 0.3542 0.0854 0.3318  1 Ga 2.86, 3 Te 3.05-3.12
Er 0.2727 0.1041 0.7691  1 Ga 2.86, 3 Te 3.05-3.12
Er 0.4964 0.6647 0.7689  1 Ga 2.86, 3 Te 3.05-3.12
Er 0.8959 0.7275 0.2311  1 Ga 2.86, 3 Te 3.05-3.12
Ga 0.2501 0.7501 0.5000  4 Er 2.86
Ga 0.9999 0.9999 0.0000  4 Er 2.86
Te 0.6581 0.3750 0.7831  6 Er 3.05-3.12
Te 0.5919 0.8750 0.2169  6 Er 3.05-3.12
Te 0.6250 0.3422 0.2172  6 Er 3.05-3.12
Te 0.1250 0.4078 0.7828  6 Er 3.05-3.12


Entry 2
Er4GaTe2 | PBE | relaxed

Calculated values
As for the magnetization: 0.0 μB per formula unit. The density of states at the Fermi level comes out at 4.870 states/eV/cell.

Cell lengths 4.2279, 7.0816, 7.9252 Å; angles 117.78, 105.47, 90.00 degrees
With the nearest neighbours (Å) after each atom.
Element x y z (fractional)
Te 0.2422 0.2487 0.4843  6 Er 3.06-3.11, 1 Ga 3.24
Te 0.7578 0.7513 0.5157  6 Er 3.06-3.11, 1 Ga 3.24
Ga 0.0000 0.0000 0.0000  6 Er 2.87-2.89
Er 0.1072 0.4627 0.2145  1 Ga 2.87, 3 Te 3.06-3.09
Er 0.8928 0.5373 0.7855  1 Ga 2.87, 3 Te 3.06-3.09
Er 0.3953 0.0867 0.7905  2 Ga 2.89, 3 Te 3.06-3.11
Er 0.6047 0.9133 0.2095  2 Ga 2.89, 3 Te 3.06-3.11


Which of them is the least stable? Correct choice: entry 2.